[1]
## TlAsSe2 (GGA-PBEsol)

Data for a geometry-optimized TlAsSe2 structure.

Cell lengths 6.159, 11.687, 12.263 Å; angles 90.00, 103.70, 90.00 degrees
Space group P2_1/c (No. 14)
Unique sites:
Tl 0.173 0.174 0.068 [4 per cell]
Tl 0.290 0.575 0.907 [4 per cell]
As 0.238 0.667 0.179 [4 per cell]
As 0.418 0.090 0.860 [4 per cell]
Se 0.198 0.576 0.649 [4 per cell]
Se 0.244 0.051 0.663 [4 per cell]
Se 0.287 0.668 0.376 [4 per cell]
Se 0.376 0.197 0.343 [4 per cell]

Crystal system: monoclinic
E: -4.063 eV per atom
Energy relative to the elements, uncorrected: -0.204 eV/atom
Spin magnetization: 0.000 μB per formula unit

---

[2]
## TlCdAu4 (GGA-PBEsol)

Data for a geometry-optimized TlCdAu4 structure.

Cell lengths 7.796, 7.796, 7.796 Å; angles 90.00, 90.00, 90.00 degrees
Space group F-43m (No. 216)
Unique sites:
Tl 0.000 0.000 0.000 [4 per cell]
Cd 0.250 0.250 0.750 [4 per cell]
Au 0.125 0.125 0.375 [16 per cell]

ΔE_f: 0 kJ per mole of atoms
Crystal system: cubic
DOS at the Fermi energy: 3.475 states/eV/f.u.
E: -3.259 eV per atom
Spin magnetization: 0.000 μB per formula unit

---

[3]
## AlReHg2 (GGA-PBEsol)

Data for a geometry-optimized AlReHg2 structure.

Cell lengths 3.388, 4.389, 9.369 Å; angles 90.00, 90.00, 90.00 degrees
Space group Imm2 (No. 44)
Unique sites:
Al 0.000 0.000 0.000 [2 per cell]
Re 0.000 0.500 0.295 [2 per cell]
Hg 0.000 0.000 0.531 [2 per cell]
Hg 0.000 0.500 0.758 [2 per cell]

ΔE_f: 46 kJ per mole of atoms
Crystal system: orthorhombic
DOS at the Fermi energy: 2.321 states/eV/f.u.
E: -4.159 eV per atom
Spin magnetization: 0.000 μB per formula unit

---

[4]
## TlPt5 (GGA-PBEsol)

Data for a geometry-optimized TlPt5 structure.

Cell lengths 4.047, 12.034, 3.920 Å; angles 90.00, 90.00, 90.00 degrees
Space group Cmmm (No. 65)
Unique sites:
Tl 0.000 0.000 0.000 [2 per cell]
Pt 0.000 0.172 0.500 [4 per cell]
Pt 0.000 0.333 0.000 [4 per cell]
Pt 0.000 0.500 0.500 [2 per cell]

ΔE_f: 1 kJ per mole of atoms
Crystal system: orthorhombic
DOS at the Fermi energy: 6.393 states/eV/f.u.
E: -6.236 eV per atom
Spin magnetization: 0.000 μB per formula unit

---

[5]
## Ni2H2Ir (GGA-PBEsol)

Data for a geometry-optimized Ni2H2Ir structure.

Cell lengths 2.670, 2.670, 11.291 Å; angles 90.00, 90.00, 90.00 degrees
Space group I4/mmm (No. 139)
Unique sites:
Ni 0.000 0.000 0.159 [4 per cell]
H 0.000 0.500 0.250 [4 per cell]
Ir 0.000 0.000 0.500 [2 per cell]

Crystal system: tetragonal
DOS at the Fermi energy: 3.248 states/eV/f.u.
E: -5.727 eV per atom
Spin magnetization: 0.000 μB per formula unit

---

[6]
## Rb2VCuS4 (GGA-PBEsol)

Data for a geometry-optimized Rb2VCuS4 structure.

Cell lengths 5.360, 13.181, 23.193 Å; angles 90.00, 90.00, 90.00 degrees
Space group Fddd (No. 70, origin choice 2)
Unique sites:
Rb 0.125 0.125 0.303 [16 per cell]
V 0.125 0.125 0.125 [8 per cell]
Cu 0.125 0.125 0.625 [8 per cell]
S 0.108 0.280 0.428 [32 per cell]

Crystal system: orthorhombic
E: -5.231 eV per atom
Energy relative to the elements, uncorrected: -1.037 eV/atom
Spin magnetization: 0.000 μB per formula unit

---

[7]
## Mn3As (GGA-PBEsol)

Data for a geometry-optimized Mn3As structure.

Cell lengths 3.606, 3.606, 3.606 Å; angles 90.00, 90.00, 90.00 degrees
Space group Pm-3m (No. 221)
Unique sites:
Mn 0.000 0.000 0.500 [3 per cell]
As 0.500 0.500 0.500 [1 per cell]

ΔE_f: -5 kJ per mole of atoms
Crystal system: cubic
DOS at the Fermi energy: 1.574 states/eV/f.u.
E: -8.646 eV per atom
Spin magnetization: 5.820 μB per formula unit

---

[8]
## Li3InHg (GGA-PBEsol)

Data for a geometry-optimized Li3InHg structure.

Cell lengths 4.876, 4.876, 4.876 Å; angles 90.00, 90.00, 90.00 degrees
Space group Pm-3m (No. 221)
Unique sites:
Li 0.000 0.000 0.500 [3 per cell]
In 0.500 0.500 0.500 [1 per cell]
Hg 0.000 0.000 0.000 [1 per cell]

ΔE_f: 1 kJ per mole of atoms
Crystal system: cubic
DOS at the Fermi energy: 2.096 states/eV/f.u.
E: -1.881 eV per atom
Spin magnetization: 0.000 μB per formula unit